A plane-wave DFT calculation with meta-GGA SCAN was carried out for a PBEsol-optimized structure of LiAg4Au.

The structure in CIF format:
```
data_LiAg4Au
_chemical_formula_sum 'Li4 Ag16 Au4'
_space_group_name_H-M_alt 'F -4 3 m'
_space_group_IT_number 216
_space_group_name_Hall 'F -4 2 3'
_cell_length_a 7.5560
_cell_length_b 7.5560
_cell_length_c 7.5560
_cell_angle_alpha 90.00
_cell_angle_beta 90.00
_cell_angle_gamma 90.00
loop_
_atom_site_label
_atom_site_fract_x
_atom_site_fract_y
_atom_site_fract_z
_atom_site_occupancy
Li1 0.0000 0.0000 0.0000 1
Ag1 0.1250 0.1250 0.3750 1
Au1 0.2500 0.2500 0.7500 1
```

Output
raw total energy	-788.1	eV/cell
size of the total moment	0.00	μB per formula unit
energy relative to the elements	-0.0024	eV per atom


A plane-wave DFT calculation with meta-GGA SCAN was carried out for a PBEsol-optimized structure of LiAgAu.

The structure in CIF format:
```
data_LiAgAu
_chemical_formula_sum 'Li2 Ag2 Au2'
_space_group_name_H-M_alt 'I m m 2'
_space_group_IT_number 44
_space_group_name_Hall 'I 2 -2'
_cell_length_a 2.8023
_cell_length_b 3.9764
_cell_length_c 8.4929
_cell_angle_alpha 90.00
_cell_angle_beta 90.00
_cell_angle_gamma 90.00
loop_
_atom_site_label
_atom_site_fract_x
_atom_site_fract_y
_atom_site_fract_z
_atom_site_occupancy
Li1 0.0000 0.0000 0.0000 1
Ag1 0.0000 0.0000 0.6687 1
Au1 0.0000 0.0000 0.3412 1
```

Output
raw total energy	-208.0	eV/cell
ΔE to the lowest computed polymorph	0.000	eV/atom
size of the total moment	0.00	μB per formula unit
energy relative to the elements	-0.3587	eV per atom